Entry 1:
This record from Alexandria describes crystalline TcRu2ICl at its relaxed geometry. The functional is PBE-GGA.

Output
Its uncorrected energy is -5.29 eV/atom. The calculation puts the formation energy from raw total energies at 1173 meV/atom. The calculation puts the density at 7.3 Mg/m³. The total magnetic moment is 0.0 Bohr magnetons per cell. As for the energy above the most stable polymorph in this dataset: 0.00 eV/f.u.

abc: 4.801 4.801 4.588
angles: 90.00 90.00 90.00
Positions (direct):
Tc  0.000  0.000  0.000
Ru  0.000  0.500  0.000
Ru  0.500  0.000  0.000
I  0.500  0.500  0.500
Cl  0.000  0.000  0.500

***

Entry 2:
This record from Alexandria describes crystalline TeRuI2Cl at its relaxed geometry. The functional is PBE-GGA.

Output
Its uncorrected energy is -2.13 eV/atom. The calculation puts the formation energy from raw total energies at 1347 meV/atom. The calculation puts the density at 5.0 Mg/m³. The total magnetic moment is 3.9 Bohr magnetons per cell. As for the energy above the most stable polymorph in this dataset: 5.00 eV/f.u.

abc: 5.538 5.538 5.632
angles: 90.00 90.00 90.00
Positions (direct):
Te  0.000  0.000  0.000
Ru  0.500  0.500  0.000
I  0.000  0.500  0.500
I  0.500  0.000  0.500
Cl  0.000  0.000  0.500

***

Entry 3:
This record from Alexandria describes crystalline TeRuI2Cl at its relaxed geometry. The functional is PBE-GGA.

Output
Its uncorrected energy is -3.13 eV/atom. The calculation puts the formation energy from raw total energies at 347 meV/atom. The calculation puts the density at 5.7 Mg/m³. The total magnetic moment is 0.0 Bohr magnetons per cell. As for the energy above the most stable polymorph in this dataset: 0.00 eV/f.u.

abc: 5.503 5.503 5.022
angles: 90.00 90.00 90.00
Positions (direct):
Te  0.000  0.000  0.000
Ru  0.000  0.000  0.500
I  0.000  0.500  0.500
I  0.500  0.000  0.500
Cl  0.500  0.500  0.000

***

Entry 4:
This record from Alexandria describes crystalline Zn2RuICl at its relaxed geometry. The functional is PBE-GGA.

Output
Its uncorrected energy is -1.61 eV/atom. The calculation puts the formation energy from raw total energies at 1432 meV/atom. The calculation puts the density at 4.0 Mg/m³. The total magnetic moment is 3.0 Bohr magnetons per cell.

abc: 5.522 5.522 5.335
angles: 90.00 90.00 90.00
Positions (direct):
Zn  0.000  0.500  0.000
Zn  0.500  0.000  0.000
Ru  0.000  0.000  0.500
I  0.500  0.500  0.000
Cl  0.500  0.500  0.500

***

Entry 5:
This record from Alexandria describes crystalline SbS2ICl at its relaxed geometry. The functional is PBE-GGA.

Output
Its uncorrected energy is -2.85 eV/atom. The calculation puts the formation energy from raw total energies at 300 meV/atom. The calculation puts the density at 4.2 Mg/m³. The total magnetic moment is 1.7 Bohr magnetons per cell. As for the energy above the most stable polymorph in this dataset: 0.00 eV/f.u.

abc: 5.195 5.195 5.157
angles: 90.00 90.00 90.00
Positions (direct):
Sb  0.000  0.000  0.000
S  0.000  0.500  0.000
S  0.500  0.000  0.000
I  0.500  0.500  0.500
Cl  0.000  0.000  0.500

***

Entry 6:
This record from Alexandria describes crystalline ScSICl2 at its relaxed geometry. The functional is PBE-GGA.

Output
Its uncorrected energy is -2.81 eV/atom. The calculation puts the formation energy from raw total energies at 332 meV/atom. The calculation puts the density at 2.9 Mg/m³. The total magnetic moment is 1.2 Bohr magnetons per cell. As for the energy above the most stable polymorph in this dataset: 6.62 eV/f.u.

abc: 5.371 5.371 5.488
angles: 90.00 90.00 90.00
Positions (direct):
Sc  0.000  0.000  0.000
S  0.500  0.500  0.000
I  0.500  0.500  0.500
Cl  0.000  0.500  0.500
Cl  0.500  0.000  0.500

***

- Which of these has the highest uncorrected energy?
  Zn2RuICl

***

- The highest total magnetic moment belongs to which entry?
  number 2